(1)
Nb2Sn2Hg after structural relaxation. Source: the Alexandria database, functional PBE.

Cell lengths 8.6382, 8.6382, 3.0037 Å; angles 90.00, 90.00, 90.00 degrees
Space group P4/mbm (No. 127)
Inequivalent atoms, fractional coordinates:
Nb 0.1122 0.3878 0.0000 (multiplicity 4)
Sn 0.1778 0.6778 0.5000 (multiplicity 4)
Hg 0.0000 0.0000 0.5000 (multiplicity 2)

- Distance to the lowest polymorph of the same formula: 136.4 meV per atom
- Crystal system: tetragonal
- Formation energy: 0.1921 eV/atom
- Magnetization: 0.000 Bohr magnetons per cell

***

(2)
Ta2NbSnHg after structural relaxation. Source: the Alexandria database, functional PBE.

Cell lengths 5.0225, 5.0225, 5.0633 Å; angles 90.00, 90.00, 90.00 degrees
Space group P4/mmm (No. 123)
Inequivalent atoms, fractional coordinates:
Ta 0.0000 0.5000 0.0000 (multiplicity 2)
Nb 0.0000 0.0000 0.5000 (multiplicity 1)
Sn 0.5000 0.5000 0.5000 (multiplicity 1)
Hg 0.0000 0.0000 0.0000 (multiplicity 1)

- Crystal system: tetragonal
- Formation energy: 1.8454 eV/atom
- Magnetization: 0.000 Bohr magnetons per cell

***

(3)
NbSn2HgTe after structural relaxation. Source: the Alexandria database, functional PBE.

Cell lengths 5.9163, 5.9163, 5.2371 Å; angles 90.00, 90.00, 90.00 degrees
Space group P4/mmm (No. 123)
Inequivalent atoms, fractional coordinates:
Nb 0.0000 0.0000 0.0000 (multiplicity 1)
Sn 0.0000 0.5000 0.5000 (multiplicity 2)
Hg 0.5000 0.5000 0.0000 (multiplicity 1)
Te 0.0000 0.0000 0.5000 (multiplicity 1)

- Uncorrected formation energy: 0.97 eV per atom
- Crystal system: tetragonal
- Magnetization: 2.448 Bohr magnetons per cell

***

(4)
NbTl2SnHg after structural relaxation. Source: the Alexandria database, functional PBE.

Cell lengths 5.5955, 5.5955, 5.4017 Å; angles 90.00, 90.00, 90.00 degrees
Space group P4/mmm (No. 123)
Inequivalent atoms, fractional coordinates:
Nb 0.0000 0.0000 0.0000 (multiplicity 1)
Tl 0.0000 0.5000 0.0000 (multiplicity 2)
Sn 0.0000 0.0000 0.5000 (multiplicity 1)
Hg 0.5000 0.5000 0.5000 (multiplicity 1)

- Crystal system: tetragonal
- Formation energy: 0.4410 eV/atom
- Magnetization: 0.001 Bohr magnetons per cell

***

(5)
SrNb3Hg after structural relaxation. Source: the Alexandria database, functional PBE.

Cell lengths 5.2205, 5.2205, 5.2205 Å; angles 90.00, 90.00, 90.00 degrees
Space group Pm-3m (No. 221)
Inequivalent atoms, fractional coordinates:
Sr 0.0000 0.0000 0.0000 (multiplicity 1)
Nb 0.0000 0.5000 0.5000 (multiplicity 3)
Hg 0.5000 0.5000 0.5000 (multiplicity 1)

- Distance to the lowest polymorph of the same formula: 0.0 meV per atom
- Crystal system: cubic
- Formation energy: 1.6476 eV/atom
- Magnetization: 1.458 Bohr magnetons per cell

***

(6)
Sr3NbHg after structural relaxation. Source: the Alexandria database, functional PBE.

Cell lengths 6.1036, 6.1036, 6.1036 Å; angles 90.00, 90.00, 90.00 degrees
Space group Pm-3m (No. 221)
Inequivalent atoms, fractional coordinates:
Sr 0.0000 0.0000 0.5000 (multiplicity 3)
Nb 0.5000 0.5000 0.5000 (multiplicity 1)
Hg 0.0000 0.0000 0.0000 (multiplicity 1)

- Distance to the lowest polymorph of the same formula: 0.0 meV per atom
- Crystal system: cubic
- Formation energy: 0.6899 eV/atom
- Magnetization: 4.292 Bohr magnetons per cell

***

(7)
SrNbHg3 after structural relaxation. Source: the Alexandria database, functional PBE.

Cell lengths 5.9325, 5.9325, 5.9325 Å; angles 90.00, 90.00, 90.00 degrees
Space group Pm-3m (No. 221)
Inequivalent atoms, fractional coordinates:
Sr 0.0000 0.0000 0.0000 (multiplicity 1)
Nb 0.5000 0.5000 0.5000 (multiplicity 1)
Hg 0.0000 0.0000 0.5000 (multiplicity 3)

- Distance to the lowest polymorph of the same formula: 955.0 meV per atom
- Crystal system: cubic
- Formation energy: 1.1948 eV/atom
- Magnetization: 4.565 Bohr magnetons per cell

***

(8)
SrNb3Hg after structural relaxation. Source: the Alexandria database, functional PBE.

Cell lengths 4.8917, 4.8917, 4.8917 Å; angles 90.00, 90.00, 90.00 degrees
Space group Pm-3m (No. 221)
Inequivalent atoms, fractional coordinates:
Sr 0.0000 0.0000 0.0000 (multiplicity 1)
Nb 0.0000 0.0000 0.5000 (multiplicity 3)
Hg 0.5000 0.5000 0.5000 (multiplicity 1)

- Distance to the lowest polymorph of the same formula: 756.1 meV per atom
- Crystal system: cubic
- Formation energy: 2.4037 eV/atom
- Magnetization: 0.000 Bohr magnetons per cell

***

(9)
SrNbHg3 after structural relaxation. Source: the Alexandria database, functional PBE.

Cell lengths 5.4082, 5.4082, 5.4082 Å; angles 90.00, 90.00, 90.00 degrees
Space group Pm-3m (No. 221)
Inequivalent atoms, fractional coordinates:
Sr 0.0000 0.0000 0.0000 (multiplicity 1)
Nb 0.5000 0.5000 0.5000 (multiplicity 1)
Hg 0.0000 0.5000 0.5000 (multiplicity 3)

- Distance to the lowest polymorph of the same formula: 0.0 meV per atom
- Crystal system: cubic
- Formation energy: 0.2398 eV/atom
- Magnetization: 0.001 Bohr magnetons per cell

***

(10)
Sr3NbHg after structural relaxation. Source: the Alexandria database, functional PBE.

Cell lengths 5.8960, 5.8960, 5.8960 Å; angles 90.00, 90.00, 90.00 degrees
Space group Pm-3m (No. 221)
Inequivalent atoms, fractional coordinates:
Sr 0.0000 0.0000 0.5000 (multiplicity 3)
Nb 0.0000 0.0000 0.0000 (multiplicity 1)
Hg 0.5000 0.5000 0.5000 (multiplicity 1)

- Distance to the lowest polymorph of the same formula: 49.3 meV per atom
- Crystal system: cubic
- Formation energy: 0.7393 eV/atom
- Magnetization: 0.000 Bohr magnetons per cell

***

(11)
SrNbHg2 after structural relaxation. Source: the Alexandria database, functional PBE.

Cell lengths 5.1424, 5.1424, 19.5729 Å; angles 90.00, 90.00, 90.00 degrees
Space group I-42d (No. 122)
Inequivalent atoms, fractional coordinates:
Sr 0.0000 0.0000 0.0000 (multiplicity 4)
Nb 0.0000 0.0000 0.5000 (multiplicity 4)
Hg 0.1506 0.2500 0.6250 (multiplicity 8)

- Crystal system: tetragonal
- Formation energy: 0.5466 eV/atom
- Magnetization: 11.284 Bohr magnetons per cell

***

(12)
SrNbTc2Hg after structural relaxation. Source: the Alexandria database, functional PBE.

Cell lengths 4.8040, 4.8040, 4.9843 Å; angles 90.00, 90.00, 90.00 degrees
Space group P4/mmm (No. 123)
Inequivalent atoms, fractional coordinates:
Sr 0.0000 0.0000 0.0000 (multiplicity 1)
Nb 0.0000 0.0000 0.5000 (multiplicity 1)
Tc 0.0000 0.5000 0.0000 (multiplicity 2)
Hg 0.5000 0.5000 0.5000 (multiplicity 1)

- Crystal system: tetragonal
- Formation energy: 2.6407 eV/atom
- Magnetization: 1.217 Bohr magnetons per cell